(1)
## TlTcRh2 (PBE)

Data for a geometry-optimized TlTcRh2 structure.

abc: 3.9901 3.9901 8.0777
angles: 90.00 90.00 90.00
Space group I-4m2 (No. 119)
One atom of each set of equivalent atoms:
1 Tl 0.0000 0.0000 0.0000 x2
2 Tc 0.0000 0.5000 0.2500 x2
3 Rh 0.0000 0.0000 0.5000 x2
4 Rh 0.0000 0.5000 0.7500 x2

Values from the calculation:
- Energy of formation: 0.324 eV/atom
- Energy relative to the lowest polymorph listed for this composition: 233 meV/atom
- Total DFT energy (no corrections): -6.535 eV/atom
- Calculated density: 13.12 g/cm3
- Total magnetization: 0.49 μB/f.u.
- DOS(E_F): 10.8 states/eV/cell

(2)
## NaLiGa (PBE)

Data for a geometry-optimized NaLiGa structure.

abc: 3.1730 3.1730 7.6041
angles: 90.00 90.00 120.00
Space group P3m1 (No. 156)
One atom of each set of equivalent atoms:
1 Na 0.0000 0.0000 0.0000 x1
2 Li 0.3333 0.6667 0.6257 x1
3 Ga 0.6667 0.3333 0.3450 x1

Values from the calculation:
- Energy of formation: 0.006 eV/atom
- Energy relative to the lowest polymorph listed for this composition: 137 meV/atom
- Total DFT energy (no corrections): -2.081 eV/atom
- Calculated density: 2.50 g/cm3
- Total magnetization: 0.00 μB/f.u.
- DOS(E_F): 1.7 states/eV/cell

(3)
## ReAg2Os (PBE)

Data for a geometry-optimized ReAg2Os structure.

abc: 2.7849 4.6532 9.9878
angles: 90.00 90.00 90.00
Space group Cmmm (No. 65)
One atom of each set of equivalent atoms:
1 Re 0.0000 0.0000 0.0000 x2
2 Ag 0.0000 0.5000 0.2507 x4
3 Os 0.0000 0.0000 0.5000 x2

Values from the calculation:
- Energy of formation: 0.744 eV/atom
- Energy relative to the lowest polymorph listed for this composition: 464 meV/atom
- Total DFT energy (no corrections): -6.601 eV/atom
- Calculated density: 15.19 g/cm3
- Total magnetization: 0.00 μB/f.u.
- DOS(E_F): 6.8 states/eV/cell

(4)
## NaAcSnAs (PBE)

Data for a geometry-optimized NaAcSnAs structure.

abc: 7.7338 7.7338 7.7338
angles: 90.00 90.00 90.00
Space group F-43m (No. 216)
One atom of each set of equivalent atoms:
1 Na 0.0000 0.0000 0.0000 x4
2 Ac 0.0000 0.0000 0.5000 x4
3 Sn 0.2500 0.2500 0.2500 x4
4 As 0.2500 0.2500 0.7500 x4

Values from the calculation:
- Energy of formation: -0.436 eV/atom
- Total DFT energy (no corrections): -3.956 eV/atom
- Calculated density: 6.37 g/cm3
- Total magnetization: 0.00 μB/f.u.
- DOS(E_F): 13.1 states/eV/cell

(5)
## Er2InNi4Ge3 (PBE)

Data for a geometry-optimized Er2InNi4Ge3 structure.

abc: 4.0856 4.0856 10.0236
angles: 90.00 90.00 90.00
Space group P-4m2 (No. 115)
One atom of each set of equivalent atoms:
1 Er 0.0000 0.5000 0.2366 x2
2 In 0.0000 0.0000 0.5000 x1
3 Ni 0.0000 0.0000 0.0000 x1
4 Ni 0.0000 0.5000 0.6483 x2
5 Ni 0.5000 0.5000 0.0000 x1
6 Ge 0.0000 0.5000 0.8775 x2
7 Ge 0.5000 0.5000 0.5000 x1

Values from the calculation:
- Energy of formation: -0.586 eV/atom
- Total DFT energy (no corrections): -5.470 eV/atom
- Calculated density: 8.95 g/cm3
- Total magnetization: 0.00 μB/f.u.
- DOS(E_F): 5.7 states/eV/cell

(6)
## K2Cd2I (PBE)

Data for a geometry-optimized K2Cd2I structure.

abc: 9.5241 9.5241 5.0859
angles: 90.00 90.00 90.00
Space group P4/mbm (No. 127)
One atom of each set of equivalent atoms:
1 K 0.1868 0.3132 0.0000 x4
2 Cd 0.1129 0.6129 0.5000 x4
3 I 0.0000 0.0000 0.0000 x2

Values from the calculation:
- Uncorrected formation energy: -0.365 eV/atom
- Energy relative to the lowest polymorph listed for this composition: 0 meV/atom
- Total DFT energy (no corrections): -1.480 eV/atom
- Calculated density: 3.09 g/cm3
- Total magnetization: 0.00 μB/f.u.
- DOS(E_F): 7.5 states/eV/cell

(7)
## Ca2MgP3Rh4 (PBE)

Data for a geometry-optimized Ca2MgP3Rh4 structure.

abc: 4.0329 4.0329 10.3031
angles: 90.00 90.00 90.00
Space group P-4m2 (No. 115)
One atom of each set of equivalent atoms:
1 Ca 0.0000 0.5000 0.2460 x2
2 Mg 0.0000 0.0000 0.5000 x1
3 P 0.0000 0.5000 0.8702 x2
4 P 0.5000 0.5000 0.5000 x1
5 Rh 0.0000 0.0000 0.0000 x1
6 Rh 0.0000 0.5000 0.6492 x2
7 Rh 0.5000 0.5000 0.0000 x1

Values from the calculation:
- Energy of formation: -0.878 eV/atom
- Total DFT energy (no corrections): -6.001 eV/atom
- Calculated density: 6.03 g/cm3
- Total magnetization: 0.00 μB/f.u.
- DOS(E_F): 7.4 states/eV/cell

(8)
## HfCu2HAu (PBE)

Data for a geometry-optimized HfCu2HAu structure.

abc: 4.9017 4.9017 3.2720
angles: 90.00 90.00 90.00
Space group P4/mmm (No. 123)
One atom of each set of equivalent atoms:
1 Hf 0.0000 0.0000 0.0000 x1
2 Cu 0.0000 0.5000 0.5000 x2
3 H 0.5000 0.5000 0.0000 x1
4 Au 0.5000 0.5000 0.5000 x1

Values from the calculation:
- Energy relative to the lowest polymorph listed for this composition: 512 meV/atom
- Total DFT energy (no corrections): -4.536 eV/atom
- Calculated density: 10.64 g/cm3
- Total magnetization: 0.00 μB/f.u.
- DOS(E_F): 2.5 states/eV/cell